(1)
The following is a PBE calculation of a geometry-optimized MgTlInTe3 structure, from Alexandria via LeMat-Bulk. Values from VASP.

Geometry as Quantum ESPRESSO input:
```
&SYSTEM
  ibrav = 0, nat = 12, ntyp = 4
/
ATOMIC_SPECIES
Mg 24.30 Mg.upf
Tl 204.38 Tl.upf
In 114.82 In.upf
Te 127.60 Te.upf
ATOMIC_POSITIONS crystal
Mg 0.157 0.250 0.085
Mg 0.843 0.750 0.915
Tl 0.264 0.750 0.760
Tl 0.736 0.250 0.240
In 0.400 0.750 0.364
In 0.600 0.250 0.636
Te 0.021 0.250 0.831
Te 0.278 0.250 0.479
Te 0.404 0.750 0.120
Te 0.596 0.250 0.880
Te 0.722 0.750 0.521
Te 0.979 0.750 0.169
CELL_PARAMETERS angstrom
8.864 0.000 0.000
0.000 4.336 0.000
-2.802 0.000 10.933
```

---

(2)
The following is a PBE calculation of a geometry-optimized Tm2MgIn3Te6 structure, from Alexandria via LeMat-Bulk. Values from VASP.

Geometry as Quantum ESPRESSO input:
```
&SYSTEM
  ibrav = 0, nat = 12, ntyp = 4
/
ATOMIC_SPECIES
Tm 168.93 Tm.upf
Mg 24.30 Mg.upf
In 114.82 In.upf
Te 127.60 Te.upf
ATOMIC_POSITIONS crystal
Tm 0.166 0.834 0.000
Tm 0.834 0.166 0.000
Mg 0.500 0.500 0.000
In 0.000 0.000 0.500
In 0.330 0.670 0.500
In 0.670 0.330 0.500
Te 0.096 0.427 0.780
Te 0.243 0.243 0.222
Te 0.427 0.096 0.780
Te 0.573 0.904 0.220
Te 0.757 0.757 0.778
Te 0.904 0.573 0.220
CELL_PARAMETERS angstrom
3.783 -6.560 0.000
3.783 6.560 0.000
-2.523 0.000 7.760
```

---

(3)
The following is a PBE calculation of a geometry-optimized Y3MgIn4Te8 structure, from Alexandria via LeMat-Bulk. Values from VASP.

Geometry as Quantum ESPRESSO input:
```
&SYSTEM
  ibrav = 0, nat = 16, ntyp = 4
/
ATOMIC_SPECIES
Y 88.91 Y.upf
Mg 24.30 Mg.upf
In 114.82 In.upf
Te 127.60 Te.upf
ATOMIC_POSITIONS crystal
Y 0.000 0.500 0.500
Y 0.500 0.000 0.500
Y 0.500 0.500 0.000
Mg 0.000 0.000 0.000
In 0.000 0.000 0.500
In 0.000 0.500 0.000
In 0.500 0.000 0.000
In 0.500 0.500 0.500
Te 0.238 0.238 0.745
Te 0.238 0.745 0.238
Te 0.255 0.762 0.762
Te 0.258 0.258 0.258
Te 0.742 0.742 0.742
Te 0.745 0.238 0.238
Te 0.762 0.255 0.762
Te 0.762 0.762 0.255
CELL_PARAMETERS angstrom
4.402 2.542 7.853
-4.402 2.542 7.853
0.000 -5.084 7.853
```

---

| no. | total energy (eV/atom) | total magnetic moment (μB/f.u.) | uncorrected formation energy (eV/atom) |
| --- | --- | --- | --- |
| 1 | -3.151 | 0.00 | -0.46 |
| 2 | -3.919 | 0.00 | -0.79 |
| 3 | -4.421 | 0.00 | -0.85 |